Entry 1:
VASP calculation (GGA-PBE) on crystalline NaAlTlCl6 at its relaxed geometry.

- space group = P312, No. 149
- E_form (uncorrected) (eV per atom) = -1.248

Cell and atoms, written as extended XYZ:
```
9
Lattice="-3.9228 -1.7706 5.1798 2.5546 -3.6040 5.0832 1.4804 5.0834 2.8595" Properties=species:S:1:pos:R:3 pbc="T T T"
Na -0.1716 -1.0407 8.2713
Cl -0.4756 1.3630 6.9918
Cl 2.4759 1.3825 5.4275
Tl -1.3678 -5.3741 10.2631
Cl 1.1079 0.0981 2.7448
Cl -0.1520 2.9212 4.0546
Al 0.2842 0.7501 4.8506
Cl -1.8978 0.1555 4.2009
Cl 0.6466 -1.4207 5.6840
```

---

Entry 2:
VASP calculation (GGA-PBE) on crystalline NaAlZnCl2 at its relaxed geometry.

- space group = P4/mmm, No. 123
- E_form (uncorrected) (eV per atom) = -0.121

Cell and atoms, written as extended XYZ:
```
5
Lattice="4.8602 0.0000 0.0000 0.0000 6.2592 0.0000 0.0000 0.0000 4.8602" Properties=species:S:1:pos:R:3 pbc="T T T"
Cl 2.4301 0.0000 0.0000
Zn 0.0000 0.0000 0.0000
Cl 0.0000 0.0000 2.4301
Al 2.4301 3.1296 2.4301
Na 0.0000 3.1296 0.0000
```